V2ZnC: relaxed, PBE.

Cell: 2.6226 2.6226 6.6364 Å, 90.00 90.00 90.00°
Closest atoms and distances in Å follow each position.
Positions (direct):
V: 0.0000 0.0000 0.1774  4 C 2.20, 1 V 2.35
V: 0.0000 0.0000 0.8226  4 C 2.20, 1 V 2.35
Zn: 0.5000 0.5000 0.5000  4 Zn 2.62, 8 V 2.83
C: 0.5000 0.5000 0.0000  8 V 2.20

Values from the calculation:
* excess energy over the best structure of this formula in the dataset: 0.4030 eV/atom
* ΔE_f: 0.054 eV per atom
* electronic total energy: -7.13 eV per atom
* space group: P4/mmm, No. 123
* D(E_F): 2.9 states/eV per cell